Below is a relaxed structure of TcPt2Br, with properties calculated at the PBE-GGA level.

Computed properties:
- space-group type = Pm (6)
- M_tot (μB/cell) = 0.00
- Fermi-level density of states (states/eV/atom) = 0.84
- formation energy from raw total energies (eV per atom) = 0.288

Cell lengths 3.5731, 2.9810, 6.9710 Å; angles 89.94, 90.00, 90.00 degrees
With the nearest neighbours (Å) after each atom.
Atoms (fractional coordinates):
Tc1 0.0000 0.7499 0.4444  5 Pt 2.62-2.68, 2 Br 2.65
Br1 0.5000 0.7489 0.7257  2 Tc 2.65, 2 Pt 2.93
Pt1 0.0000 0.7508 0.0597  1 Tc 2.68, 6 Pt 2.75-2.98, 2 Br 2.93
Pt2 0.5000 0.2504 0.2702  4 Tc 2.62, 4 Pt 2.75

=====

Below is a relaxed structure of Sm3Y3Pd4, with properties calculated at the PBE-GGA level.

Computed properties:
- space-group type = Amm2 (38)
- formation enthalpy at 0 K (meV per atom) = -693
- M_tot (μB/cell) = 0.00
- Fermi-level density of states (states/eV/atom) = 0.86

Cell lengths 3.9861, 7.9057, 7.9057 Å; angles 89.28, 90.00, 90.00 degrees
With the nearest neighbours (Å) after each atom.
Atoms (fractional coordinates):
Pd1 0.0000 0.1313 0.1268  1 Pd 2.90, 4 Sm 3.04-3.09, 4 Y 3.06-3.13
Pd2 0.0000 0.8732 0.8687  1 Pd 2.90, 4 Sm 3.04-3.09, 4 Y 3.06-3.13
Pd3 0.0000 0.3670 0.6330  1 Pd 2.92, 4 Y 2.98-3.09, 4 Sm 3.11
Pd4 0.0000 0.6297 0.3703  1 Pd 2.92, 6 Sm 3.02-3.10, 2 Y 3.12
Sm1 0.5000 0.6659 0.6674  6 Pd 3.04-3.11
Sm2 0.5000 0.8342 0.1658  6 Pd 3.02-3.09
Sm3 0.5000 0.3326 0.3341  6 Pd 3.04-3.11
Y1 0.0000 0.4985 0.9998  4 Pd 3.06-3.13
Y2 0.0000 0.0002 0.5015  4 Pd 3.06-3.13
Y3 0.5000 0.1675 0.8325  6 Pd 2.98-3.07

=====

Calculated total energy? In order: -5.742 -6.125 eV/atom.